Compound: ReNi4Ru
Source: Alexandria
Functional: PBE
Structure: optimized geometry

Unit cell a=4.648 b=4.648 c=4.648 alpha=60.00 beta=60.00 gamma=60.00
Atoms (fractional coordinates):
Re 0.000 0.000 0.000
Ni 0.375 0.375 0.375
Ni 0.375 0.375 0.875
Ni 0.375 0.875 0.375
Ni 0.875 0.375 0.375
Ru 0.750 0.750 0.750

Computed properties:
The calculation puts the formation energy at 0.08 eV/atom. Its space-group type is No. 216. Its volume is 71.01 Å³ per cell. For the offset from the most stable computed form, the calculation gives 0 meV/atom.

***

Compound: Ti2ZnSn
Source: Alexandria
Functional: PBE
Structure: optimized geometry

Unit cell a=4.077 b=4.077 c=4.163 alpha=90.00 beta=90.00 gamma=90.00
Atoms (fractional coordinates):
Ti 0.000 0.500 0.000
Ti 0.500 0.000 0.000
Zn 0.000 0.000 0.500
Sn 0.500 0.500 0.500

Computed properties:
The calculation puts the formation energy at -0.28 eV/atom. Its space-group type is No. 123. Its volume is 69.20 Å³ per cell.

***

Compound: Er2Th2Sc5
Source: Alexandria
Functional: PBE
Structure: optimized geometry

Unit cell a=3.462 b=8.371 c=8.867 alpha=100.97 beta=90.00 gamma=90.53
Atoms (fractional coordinates):
Er 0.231 0.355 0.124
Er 0.769 0.645 0.876
Th 0.241 0.861 0.592
Th 0.759 0.139 0.408
Sc 0.228 0.293 0.729
Sc 0.258 0.944 0.120
Sc 0.500 0.500 0.500
Sc 0.742 0.056 0.880
Sc 0.772 0.707 0.271

Computed properties:
The calculation puts the formation energy at 0.10 eV/atom. Its space-group type is No. 2. Its volume is 252.23 Å³ per cell. For the offset from the most stable computed form, the calculation gives 0 meV/atom.